# ZrZnGa2Rh (GGA-PBE, optimized geometry)
data_ZrZnGa2Rh
_chemical_formula_sum 'Zr1 Zn1 Ga2 Rh1'
_cell_length_a 4.444
_cell_length_b 5.067
_cell_length_c 4.444
_cell_angle_alpha 90.00
_cell_angle_beta 90.00
_cell_angle_gamma 90.00
_symmetry_space_group_name_H-M 'P 1'
_symmetry_Int_Tables_number 1
_symmetry_space_group_name_Hall 'P 1'
loop_
_atom_site_label
_atom_site_fract_x
_atom_site_fract_y
_atom_site_fract_z
_atom_site_occupancy
Zn1 0.000 0.000 0.000 1
Rh1 0.500 0.500 0.500 1
Ga1 0.000 0.000 0.500 1
Ga2 0.500 0.000 0.000 1
Zr1 0.000 0.500 0.000 1
# D(E_F) ... 0.61 states/eV/atom
# Formation energy from the elements ... 0.528 eV/atom
# E above lowest polymorph ... 0.498 eV per atom
# Magnetization ... 0.00 μB/atom